VASP calculation (PBE) on a geometry-optimized Tb2TeSe2 structure.

Computed properties:
DFT total energy ... -28.02 eV per cell
V ... 164 Å³/cell
Excess energy over the best structure of this formula in the dataset ... 0 meV/atom
Total magnetization ... 0.0 μB per formula unit
Uncorrected formation energy ... -1.73 eV per atom

Cell: 4.264 5.693 7.647 Å, 111.85 106.19 90.00°
Positions (direct):
Tb 0.335 0.835 0.670
Tb 0.665 0.165 0.330
Se 0.307 0.307 0.614
Se 0.693 0.693 0.386
Te 0.000 0.000 0.000